No. 1
OsC | PBE | relaxed

The structure in CIF format:
```
data_OsC
_cell_length_a 5.025
_cell_length_b 5.025
_cell_length_c 2.995
_cell_angle_alpha 90.00
_cell_angle_beta 90.00
_cell_angle_gamma 120.00
_symmetry_space_group_name_H-M 'P 1'
_symmetry_Int_Tables_number 1
loop_
_symmetry_equiv_pos_as_xyz
'x,y,z'
loop_
_atom_site_label
_atom_site_fract_x
_atom_site_fract_y
_atom_site_fract_z
_atom_site_occupancy
C1 0.500 0.500 0.000 1
Os1 0.333 0.667 0.500 1
Os2 0.000 0.000 0.000 1
C2 0.000 0.500 0.000 1
Os3 0.667 0.333 0.500 1
C3 0.500 0.000 0.000 1
```

Output
The total magnetization comes out at 0.0 Bohr magnetons per cell. The value obtained for the formation energy from the elements is 1741 meV/atom. For the energy above the most stable polymorph in this dataset, the calculation gives 98.45 kJ/mol of atoms.

No. 2
OsC | PBE | relaxed

The structure in CIF format:
```
data_OsC
_cell_length_a 4.456
_cell_length_b 4.456
_cell_length_c 4.456
_cell_angle_alpha 47.81
_cell_angle_beta 47.81
_cell_angle_gamma 47.81
_symmetry_space_group_name_H-M 'P 1'
_symmetry_Int_Tables_number 1
loop_
_symmetry_equiv_pos_as_xyz
'x,y,z'
loop_
_atom_site_label
_atom_site_fract_x
_atom_site_fract_y
_atom_site_fract_z
_atom_site_occupancy
Os1 0.249 0.249 0.249 1
Os2 0.751 0.751 0.751 1
C1 0.936 0.936 0.936 1
C2 0.064 0.064 0.064 1
```

Output
The total magnetization comes out at 0.0 Bohr magnetons per cell. The value obtained for the formation energy from the elements is 1143 meV/atom. For the energy above the most stable polymorph in this dataset, the calculation gives 40.78 kJ/mol of atoms.